(1)
LiZnSb2 | the Alexandria database | PBEsol | relaxed; uncorrected formation energy = -0.079 eV per atom; DFT total energy = -12.98 eV/f.u.
1.0
4.1134 0.0000 0.0000
0.0000 4.1134 0.0000
-2.0567 -2.0567 4.9557
Li Sb Zn
1 2 1
direct
0.2500 0.7500 0.5000
0.7500 0.2500 0.5000
0.0000 0.0000 0.0000
0.5000 0.5000 0.0000

***

(2)
Y2AlIn | the Alexandria database | PBEsol | relaxed; DFT formation energy = -428 meV per atom; DFT total energy = -22.43 eV/f.u.
1.0
3.8716 0.0000 0.0000
0.0000 4.8279 0.0000
-1.9358 -2.4140 5.2177
Y Al In
2 1 1
direct
0.7583 0.7583 0.5166
0.9930 0.4930 0.9861
0.5270 0.0270 0.0539
0.2217 0.2217 0.4434

***

(3)
CsZn3Pt | the Alexandria database | PBEsol | relaxed; DFT formation energy = -171 meV per atom; DFT total energy = -13.51 eV/f.u.
1.0
-2.9278 -3.7410 1.3858
2.8072 -0.7105 4.0127
-2.8346 3.1603 2.5426
Zn Pt Cs
3 1 1
direct
0.0000 0.5000 0.0000
0.0000 0.0000 0.5000
0.5000 0.0000 0.0000
0.0000 0.0000 0.0000
0.5000 0.5000 0.5000

***

(4)
TaRe2Se | the Alexandria database | PBEsol | relaxed; uncorrected formation energy = 0.289 eV per atom; DFT total energy = -41.91 eV/f.u.
1.0
-1.6363 -1.9244 1.6154
2.8058 -3.3339 -1.1296
2.5690 0.9121 3.6887
Se Re Ta
1 2 1
direct
0.5000 0.0000 0.5000
0.5000 0.5000 0.0000
0.0000 0.0000 0.0000
0.0000 0.5000 0.5000

***

(5)
HfZnCd2Co | the Alexandria database | PBEsol | relaxed; DFT formation energy = 394 meV per atom; DFT total energy = -20.25 eV/f.u.
1.0
-1.4955 -2.4510 -3.4135
-3.5738 -1.7087 2.7926
-2.8421 3.6713 -1.3910
Cd Hf Co Zn
2 1 1 1
direct
0.0000 0.5000 0.0000
0.0000 0.0000 0.5000
0.5000 0.0000 0.0000
0.0000 0.0000 0.0000
0.5000 0.5000 0.5000

***

(6)
BiBr3 | the Alexandria database | PBEsol | relaxed; uncorrected formation energy = -0.716 eV per atom; DFT total energy = -12.76 eV/f.u.
1.0
7.1999 -0.0073 -0.0011
-3.5999 6.2353 -0.0011
-1.1503 -1.9899 6.5825
Bi Br
2 6
direct
0.1663 0.8337 0.5000
0.8337 0.1663 0.5000
0.4204 0.0695 0.2491
0.0695 0.4204 0.2491
0.7729 0.7729 0.2444
0.5796 0.9305 0.7509
0.9305 0.5796 0.7509
0.2271 0.2271 0.7556